[1]
Here is crystalline SmMnSi2 at its relaxed geometry from Alexandria. Energies are from PBE.

abc: 3.977 3.977 5.580
angles: 69.12 69.12 60.00
Fractional coordinates of all 4 atoms:
Sm  0.500  0.500  0.500
Si  0.706  0.706  0.883
Si  0.294  0.294  0.117
Mn  0.000  0.000  0.000

The formation energy from raw total energies comes out at -0.525 eV/atom.

[2]
Here is crystalline Li15Al at its relaxed geometry from Alexandria. Energies are from PBE.

abc: 5.965 5.965 9.884
angles: 90.00 90.00 120.00
Fractional coordinates of all 16 atoms:
Li  0.500  0.000  0.000
Li  0.333  0.667  0.255
Li  0.996  0.498  0.500
Li  0.837  0.163  0.758
Li  0.837  0.674  0.242
Li  0.502  0.004  0.500
Li  0.502  0.498  0.500
Li  0.333  0.667  0.745
Li  0.837  0.163  0.242
Li  0.000  0.000  0.500
Li  0.326  0.163  0.758
Li  0.500  0.500  0.000
Li  0.000  0.500  0.000
Li  0.837  0.674  0.758
Li  0.326  0.163  0.242
Al  0.000  0.000  0.000

[3]
Here is crystalline Zn2RhPb at its relaxed geometry from Alexandria. Energies are from PBE.

abc: 5.104 5.104 5.104
angles: 133.21 133.21 68.33
Fractional coordinates of all 4 atoms:
Zn  0.500  0.500  0.000
Zn  0.000  0.000  0.000
Rh  0.750  0.250  0.500
Pb  0.250  0.750  0.500

[4]
Here is crystalline LaDyTm2Sc at its relaxed geometry from Alexandria. Energies are from PBE.

abc: 5.435 8.344 7.083
angles: 90.01 90.00 90.00
Fractional coordinates of all 10 atoms:
Tm  0.500  0.686  0.500
Tm  0.500  0.686  0.000
Tm  0.500  0.314  0.500
Tm  0.500  0.314  0.000
Sc  0.500  0.000  0.250
Sc  0.500  0.000  0.750
La  0.000  0.000  0.500
La  0.000  0.000  0.000
Dy  0.000  0.500  0.750
Dy  0.000  0.500  0.250

What spin magnetization values result from the calculations? In sequence: 0.00, 0.00, 0.00, 0.00 μB per formula unit.
What VASP energy values result from the calculations? In sequence: -26.8, -32.6, -13.5, -47.5 eV/cell.